No. 1
# HoEr2TmSe5

A geometry-optimized HoEr2TmSe5 structure (GGA-PBE, Alexandria).

Unit cell a=5.097 b=5.097 c=10.634 alpha=90.00 beta=90.00 gamma=90.00
Each line ends with the local moment (μB).
Fractional coordinates of all 9 atoms:
Se: 0.000 0.000 0.753  0.00
Se: 0.500 0.000 0.500  0.00
Se: 0.500 0.500 0.000  0.00
Se: 0.000 0.000 0.247  0.00
Se: 0.000 0.500 0.500  0.00
Er: 0.500 0.500 0.660  0.08
Er: 0.500 0.500 0.340  0.08
Ho: 0.000 0.000 0.000  0.00
Tm: 0.000 0.000 0.500  0.01

Values from the calculation:
- Volume: 276 Å³ per cell
- Total energy: -0.185 hartree per atom
- Space-group type: P4/mmm

No. 2
# MnTl2P

A geometry-optimized MnTl2P structure (GGA-PBE, Alexandria).

Unit cell a=3.914 b=4.670 c=5.720 alpha=66.02 beta=90.00 gamma=90.00
Each line ends with the local moment (μB).
Fractional coordinates of all 4 atoms:
Tl: 0.000 0.047 0.236  -0.01
Tl: 0.000 0.953 0.764  -0.01
P: 0.500 0.500 0.000  0.00
Mn: 0.500 0.500 0.500  4.10

Values from the calculation:
- Volume: 96 Å³ per cell
- Total energy: -0.159 hartree per atom
- Space-group type: P2/m

| no. | calculated density (Mg/m³) |
| --- | --- |
| 1 | 6.39 |
| 2 | 8.60 |